PBE AgTe2Os, relaxed; size of the total moment = 0.00 Bohr magnetons per cell; N(E_F) = 3.36 states/eV/f.u.; formation energy without anion corrections = 70.9 kJ/mol of atoms; offset from the most stable computed form = 2.05 eV per formula unit
1.0
6.398 0.000 0.000
0.000 7.488 0.000
0.000 0.000 3.415
Ag Te Os
2 4 2
direct
0.000 0.000 0.000
0.500 0.500 0.000
0.250 0.250 0.500
0.250 0.750 0.500
0.750 0.250 0.500
0.750 0.750 0.500
0.000 0.500 0.000
0.500 0.000 0.000